Entry 1:
Entry from the Alexandria database: a relaxed structure of HfAs2CBr (PBE).

Summary:
- Crystal system: tetragonal
- Uncorrected formation energy: 0.85 eV/atom
- Magnetic moment: 0.00 μB/f.u.
- E: -5.182 eV per atom

Unit cell a=4.3684 b=4.3684 c=4.5665 alpha=90.00 beta=90.00 gamma=90.00
Space group P4/mmm (No. 123)
Unique sites:
Hf: 0.0000 0.0000 0.0000 [1 per cell]
As: 0.0000 0.5000 0.5000 [2 per cell]
C: 0.5000 0.5000 0.5000 [1 per cell]
Br: 0.5000 0.5000 0.0000 [1 per cell]



Entry 2:
Entry from the Alexandria database: a relaxed structure of HfAs2CBr (PBE).

Summary:
- Crystal system: tetragonal
- Uncorrected formation energy: 1.34 eV/atom
- Magnetic moment: 1.06 μB/f.u.
- E: -4.689 eV per atom

Unit cell a=5.2082 b=5.2082 c=5.1797 alpha=90.00 beta=90.00 gamma=90.00
Space group P4/mmm (No. 123)
Unique sites:
Hf: 0.0000 0.0000 0.0000 [1 per cell]
As: 0.0000 0.5000 0.0000 [2 per cell]
C: 0.5000 0.5000 0.5000 [1 per cell]
Br: 0.0000 0.0000 0.5000 [1 per cell]



Look up the uncorrected formation energy of the second one.
1.34 eV/atom